Below is TlIn2Co after structural relaxation, with properties calculated at the PBE-GGA level.

```
4
Lattice="-1.9067 1.1987 -2.2662 0.1626 -5.8500 -3.2311 -3.5828 -5.6441 0.0289" Properties=species:S:1:pos:R:3 pbc="T T T"
In -3.1356 -10.5365 -2.9351
In -1.8226 -2.3214 -1.9467
Tl -1.9741 -6.6360 -1.8492
Co -3.5250 -8.0427 -3.5406
```

Results
N(E_F): 2.90 states/eV per cell
size of the total moment: 0.00 Bohr magnetons per cell
DFT formation energy: 0.261 eV/atom
raw total energy: -13.9 eV/f.u.
symmetry: Amm2 (38)